[1]
A plane-wave DFT calculation with PBE was carried out for a geometry-optimized La2Pm6Pr3Y structure.

## Properties
- E_form: 0.34 kcal/mol of atoms
- Final energy: -4.92 eV/atom

Cell: 6.3736 11.0370 12.1993 Å, 90.00 100.09 90.00°
Last column: nearest neighbours and their distance in Å.
Space group C2/m (No. 12)
Asymmetric unit:
1 La 0.0000 0.1667 0.0000 x4  6 Pm 3.68, 3 Y 3.68, 3 La 3.68
2 Pm 0.2494 0.3337 0.2499 x8  6 Pm 3.67-3.68, 1 Y 3.67, 2 La 3.68, 3 Pr 3.68
3 Pm 0.2505 0.0000 0.2502 x4  6 Pm 3.67-3.68, 3 Pr 3.67-3.68, 2 La 3.68, 1 Y 3.68
4 Pr 0.0000 0.0000 0.5000 x2  6 Pm 3.68, 6 Pr 3.68
5 Pr 0.0000 0.3334 0.5000 x4  6 Pm 3.67-3.68, 6 Pr 3.68
6 Y 0.0000 0.5000 0.0000 x2  6 Pm 3.67-3.68, 6 La 3.68

[2]
A plane-wave DFT calculation with PBE was carried out for a geometry-optimized LaPm4Pr2Y2 structure.

## Properties
- E_form: 0.35 kcal/mol of atoms
- Final energy: -5.14 eV/atom

Cell: 15.5253 5.1864 8.1598 Å, 90.00 108.41 90.00°
Last column: nearest neighbours and their distance in Å.
Space group C2/m (No. 12)
Asymmetric unit:
1 La 0.0000 0.0000 0.0000 x2  4 Pr 3.67, 6 Pm 3.67, 2 Y 3.67
2 Pm 0.0556 0.5000 0.3351 x4  4 Pm 3.63-3.66, 4 Y 3.63-3.66, 2 Pr 3.67, 2 La 3.67
3 Pm 0.2225 0.0000 0.3357 x4  3 Y 3.62-3.66, 5 Pm 3.63-3.66, 3 Pr 3.66-3.67, 1 La 3.67
4 Pr 0.1671 0.5000 0.0002 x4  2 Pr 3.65, 5 Pm 3.66-3.67, 2 La 3.67, 3 Y 3.67-3.68
5 Y 0.1105 0.0000 0.6632 x4  1 Y 3.62, 7 Pm 3.62-3.66, 1 La 3.67, 3 Pr 3.67-3.68

Question: Number 2 is which compound?
Answer: LaPm4Pr2Y2